HfScFe | PBE | relaxed

Cell lengths 5.870, 5.870, 5.870 Å; angles 148.56, 148.56, 45.05 degrees
Fractional coordinates of all 3 atoms:
Hf 0.000 0.000 0.000
Sc 0.721 0.721 0.000
Fe 0.372 0.372 0.000

Computed properties:
total moment: 1.09 μB per formula unit
crystal system: tetragonal
energy relative to the elements: -0.087 eV per atom
total DFT energy (no corrections): -25.01 eV per cell
energy above the lowest structure with this stoichiometry: 24 meV/atom

***

InAsSe | PBE | relaxed

Cell lengths 4.040, 4.040, 5.036 Å; angles 90.00, 90.00, 120.00 degrees
Fractional coordinates of all 3 atoms:
In 0.000 0.000 0.000
As 0.333 0.667 0.688
Se 0.667 0.333 0.330

Computed properties:
total moment: 0.00 μB per formula unit
crystal system: trigonal
total DFT energy (no corrections): -10.86 eV per cell

***

SrBi2P2 | PBE | relaxed

Cell lengths 7.578, 7.578, 7.578 Å; angles 145.24, 145.24, 49.97 degrees
Fractional coordinates of all 5 atoms:
Sr 0.000 0.000 0.000
Bi 0.250 0.750 0.500
Bi 0.750 0.250 0.500
P 0.422 0.422 0.000
P 0.578 0.578 0.000

Computed properties:
total moment: 0.00 μB per formula unit
crystal system: tetragonal
energy relative to the elements: -0.240 eV per atom
total DFT energy (no corrections): -21.46 eV per cell
energy above the lowest structure with this stoichiometry: 0 meV/atom

***

Hf4SbIr | PBE | relaxed

Cell lengths 7.323, 7.323, 5.554 Å; angles 100.77, 100.77, 114.07 degrees
Fractional coordinates of all 12 atoms:
Hf 0.087 0.711 0.941
Hf 0.192 0.375 0.644
Hf 0.289 0.913 0.559
Hf 0.375 0.192 0.144
Hf 0.625 0.808 0.856
Hf 0.711 0.087 0.441
Hf 0.808 0.625 0.356
Hf 0.913 0.289 0.059
Sb 0.388 0.612 0.250
Sb 0.612 0.388 0.750
Ir 0.004 0.996 0.250
Ir 0.996 0.004 0.750

Computed properties:
total moment: 0.00 μB per formula unit
crystal system: monoclinic
total DFT energy (no corrections): -111.44 eV per cell

***

Rb2TiSCl6 | PBE | relaxed

Cell lengths 7.365, 7.365, 7.365 Å; angles 112.40, 112.40, 103.75 degrees
Fractional coordinates of all 10 atoms:
Rb 0.250 0.750 0.500
Rb 0.750 0.250 0.500
Ti 0.000 0.000 0.000
S 0.500 0.500 0.000
Cl 0.206 0.206 0.412
Cl 0.206 0.794 0.000
Cl 0.254 0.254 0.000
Cl 0.746 0.746 0.000
Cl 0.794 0.206 0.000
Cl 0.794 0.794 0.588

Computed properties:
total moment: 0.00 μB per formula unit
crystal system: tetragonal
total DFT energy (no corrections): -38.11 eV per cell

***

HfTlCoIr2 | PBE | relaxed

Cell lengths 4.608, 4.608, 4.547 Å; angles 90.00, 90.00, 90.00 degrees
Fractional coordinates of all 5 atoms:
Hf 0.000 0.000 0.000
Tl 0.500 0.500 0.000
Co 0.000 0.000 0.500
Ir 0.000 0.500 0.500
Ir 0.500 0.000 0.500

Computed properties:
total moment: 1.39 μB per formula unit
crystal system: tetragonal
energy relative to the elements: 0.666 eV per atom
total DFT energy (no corrections): -33.82 eV per cell